(1)
# TaZn4Ru

A relaxed structure of TaZn4Ru (PBE, Alexandria via LeMat-Bulk).

Structure (POSCAR):
```
TaZn4Ru
1.0
0.000 3.489 3.489
3.489 0.000 3.489
3.489 3.489 0.000
Ta Zn Ru
1 4 1
Cartesian
0.000 0.000 0.000
2.617 2.617 2.617
4.361 4.361 2.617
2.617 4.361 4.361
4.361 2.617 4.361
5.234 5.234 5.234
```

D(E_F) (states/eV per atom): 0.48
V (Å³/cell): 85
Energy relative to the elements (eV per formula unit): -0.3
Total magnetization (μB per formula unit): 0.0

(2)
# TaZnRu4

A relaxed structure of TaZnRu4 (PBE, Alexandria via LeMat-Bulk).

Structure (POSCAR):
```
TaZnRu4
1.0
0.000 3.594 3.594
3.594 0.000 3.594
3.594 3.594 0.000
Ru Ta Zn
4 1 1
Cartesian
2.692 4.496 4.496
4.496 2.692 4.496
4.496 4.496 2.692
2.692 2.692 2.692
5.390 5.390 5.390
0.000 0.000 0.000
```

D(E_F) (states/eV per atom): 1.10
V (Å³/cell): 93
Energy relative to the elements (eV per formula unit): 0.9
Total magnetization (μB per formula unit): 0.0

(3)
# TaZn2Ru2

A relaxed structure of TaZn2Ru2 (PBE, Alexandria via LeMat-Bulk).

Structure (POSCAR):
```
TaZn2Ru2
1.0
6.934 0.000 0.000
0.000 6.934 0.000
0.000 0.000 3.165
Ru Ta Zn
4 2 4
Cartesian
2.449 5.916 0.000
4.485 1.018 0.000
5.916 4.485 0.000
1.018 2.449 0.000
3.467 3.467 0.000
0.000 0.000 0.000
1.048 4.515 1.582
5.886 2.419 1.582
2.419 1.048 1.582
4.515 5.886 1.582
```

D(E_F) (states/eV per atom): 0.93
V (Å³/cell): 152
Energy relative to the elements (eV per formula unit): 0.3
Total magnetization (μB per formula unit): 0.0

(4)
# Ta3ZnRu4

A relaxed structure of Ta3ZnRu4 (PBE, Alexandria via LeMat-Bulk).

Structure (POSCAR):
```
Ta3ZnRu4
1.0
-2.198 2.277 -0.631
-1.640 -2.473 -3.211
-5.518 -3.747 5.704
Ru Ta Zn
4 3 1
Cartesian
-2.216 -2.184 -0.163
-4.942 -4.035 2.656
0.000 0.000 0.000
-2.759 -1.873 2.852
-5.298 -1.713 4.025
-2.418 0.243 1.048
-4.678 -1.971 0.931
-1.919 -0.098 -1.921
```

D(E_F) (states/eV per atom): 0.44
V (Å³/cell): 124
Energy relative to the elements (eV per formula unit): -3.0
Total magnetization (μB per formula unit): 0.0

Number 3 is which compound? TaZn2Ru2

Repeat the second record exactly.
# TaZnRu4

A relaxed structure of TaZnRu4 (PBE, Alexandria via LeMat-Bulk).

Structure (POSCAR):
```
TaZnRu4
1.0
0.000 3.594 3.594
3.594 0.000 3.594
3.594 3.594 0.000
Ru Ta Zn
4 1 1
Cartesian
2.692 4.496 4.496
4.496 2.692 4.496
4.496 4.496 2.692
2.692 2.692 2.692
5.390 5.390 5.390
0.000 0.000 0.000
```

D(E_F) (states/eV per atom): 1.10
V (Å³/cell): 93
Energy relative to the elements (eV per formula unit): 0.9
Total magnetization (μB per formula unit): 0.0